VASP calculation (GGA-PBE) on crystalline CaDy5N6 at its relaxed geometry.

Structure (POSCAR):
```
CaDy5N6
1.0
-3.965 2.252 3.947
-1.908 -2.123 -5.313
1.314 -5.200 2.749
Ca N Dy
1 6 5
Direct
0.000 0.000 0.000
0.430 0.085 0.254
0.915 0.570 0.746
0.259 0.259 0.743
0.741 0.741 0.257
0.085 0.430 0.254
0.570 0.915 0.746
0.834 0.166 0.500
0.667 0.333 0.000
0.500 0.500 0.500
0.333 0.667 0.000
0.166 0.834 0.500
```

## Properties
Calculated volume in Å³/cell: 179.0
E_form (uncorrected) in eV per atom: -1.499

VASP calculation (GGA-PBE) on crystalline Ca2DyN at its relaxed geometry.

Structure (POSCAR):
```
Ca2DyN
1.0
-0.316 3.407 0.813
-0.352 0.981 3.359
9.578 2.175 2.208
Ca N Dy
2 1 1
Direct
0.124 0.124 0.629
0.876 0.876 0.371
0.500 0.500 0.500
0.000 0.000 0.000
```

## Properties
Calculated volume in Å³/cell: 105.6
E_form (uncorrected) in eV per atom: -0.415

VASP calculation (GGA-PBE) on crystalline CaDy3N at its relaxed geometry.

Structure (POSCAR):
```
CaDy3N
1.0
-4.254 2.446 -0.986
-1.442 -3.725 -3.016
-2.208 -2.279 3.871
Ca N Dy
1 1 3
Direct
0.500 0.500 0.500
0.000 0.000 0.000
0.000 0.500 0.000
0.000 0.000 0.500
0.500 0.000 0.000
```

## Properties
Calculated volume in Å³/cell: 125.4
E_form (uncorrected) in eV per atom: -0.470

Results for total magnetic moment: 0.000, 0.000, 0.000 (in μB/f.u., following the order of the records).